This record from Alexandria describes a geometry-optimized VFeIrO6 structure. The functional is GGA+U.

a = 4.8590 Å, b = 4.8590 Å, c = 8.7924 Å
α = 90.00°, β = 90.00°, γ = 120.00°
Space group P-31c (No. 163)
Asymmetric unit:
V1 0.3333 0.6667 0.2500 [2 per cell]
Fe1 0.0000 0.0000 0.0000 [2 per cell]
Ir1 0.3333 0.6667 0.7500 [2 per cell]
O1 0.0147 0.3385 0.1251 [12 per cell]

## Properties
Theoretical density (Mg/m³): 7.30
Magnetization (μB per cell): 3.62
Final energy (Ry per atom): -0.5014